The following is a GGA-PBE calculation of a geometry-optimized AcTl2Ag structure, from Alexandria.

a = 5.0635 Å, b = 5.0635 Å, c = 6.1739 Å
α = 114.21°, β = 114.21°, γ = 90.00°
Fractional positions:
Ag: 0.0000 0.0000 0.0000
Tl: 0.8942 0.3942 0.7884
Ac: 0.2500 0.7500 0.5000
Tl: 0.6058 0.1058 0.2116

Properties
ΔH_f (0 K) = -2.20 kcal/mol of atoms
size of the total moment = 0.00 μB per formula unit
E = -12.073 eV per cell



The following is a GGA-PBE calculation of a geometry-optimized HfCu2Pt structure, from Alexandria.

a = 7.1680 Å, b = 7.1680 Å, c = 5.6968 Å
α = 51.01°, β = 51.01°, γ = 90.00°
Fractional positions:
Cu: 0.8750 0.8924 0.7500
Cu: 0.1076 0.6250 0.2500
Pt: 0.0000 0.0000 0.0000
Cu: 0.3750 0.3576 0.7500
Hf: 0.2500 0.7500 0.5000
Hf: 0.5000 0.5000 0.0000
Pt: 0.7500 0.2500 0.5000
Cu: 0.6424 0.1250 0.2500

Properties
ΔH_f (0 K) = 0.41 kcal/mol of atoms
size of the total moment = 0.00 μB per formula unit
E = -48.231 eV per cell



The following is a GGA-PBE calculation of a geometry-optimized Dy3Te2Se2 structure, from Alexandria.

a = 4.1472 Å, b = 7.1676 Å, c = 7.3908 Å
α = 98.42°, β = 90.04°, γ = 106.85°
Fractional positions:
Dy: 0.0000 0.0000 0.0000
Se: 0.6270 0.2540 0.8886
Te: 0.1179 0.2351 0.3809
Te: 0.8821 0.7649 0.6191
Dy: 0.2463 0.4931 0.7557
Dy: 0.7537 0.5069 0.2443
Se: 0.3730 0.7460 0.1114

Properties
raw formation energy = -1.64 eV/atom
size of the total moment = 0.00 μB per formula unit
E = -38.555 eV per cell



The following is a GGA-PBE calculation of a geometry-optimized CsVAs2 structure, from Alexandria.

a = 5.1797 Å, b = 5.1797 Å, c = 5.1797 Å
α = 60.00°, β = 60.00°, γ = 60.00°
Fractional positions:
Cs: 0.5000 0.5000 0.5000
As: 0.7500 0.7500 0.7500
V: 0.0000 0.0000 0.0000
As: 0.2500 0.2500 0.2500

Properties
ΔH_f (0 K) = 15.49 kcal/mol of atoms
size of the total moment = 3.12 μB per formula unit
E = -16.584 eV per cell



The following is a GGA-PBE calculation of a geometry-optimized Sm8Dy3Tm3 structure, from Alexandria.

a = 5.6385 Å, b = 9.6763 Å, c = 9.6763 Å
α = 101.83°, β = 73.07°, γ = 73.07°
Fractional positions:
Tm: 0.8004 0.1996 0.1996
Dy: 0.0000 0.1799 0.8201
Sm: 0.8382 0.7652 0.5584
Sm: 0.8382 0.5584 0.7652
Sm: 0.6581 0.5653 0.1186
Tm: 0.5000 0.5000 0.5000
Dy: 0.5000 0.0000 0.0000
Dy: 0.0000 0.8201 0.1799
Sm: 0.3419 0.8814 0.4347
Sm: 0.1618 0.2348 0.4416
Sm: 0.3419 0.4347 0.8814
Tm: 0.1996 0.8004 0.8004
Sm: 0.6581 0.1186 0.5653
Sm: 0.1618 0.4416 0.2348

Properties
ΔH_f (0 K) = 2.52 kcal/mol of atoms
size of the total moment = 0.00 μB per formula unit
E = -63.443 eV per cell



The following is a GGA-PBE calculation of a geometry-optimized K2CuPtO4 structure, from Alexandria.

a = 5.8282 Å, b = 7.2841 Å, c = 9.9324 Å
α = 83.26°, β = 72.94°, γ = 66.42°
Fractional positions:
Pt: 0.7500 0.5000 0.5000
O: 0.6362 0.1868 0.0021
Cu: 0.5000 0.0000 0.0000
O: 0.3884 0.6868 0.4979
K: 0.5768 0.5000 0.8463
O: 0.9249 0.6868 0.5021
K: 0.1732 0.0000 0.6537
K: 0.8268 0.0000 0.3463
K: 0.9232 0.5000 0.1537
O: 0.1138 0.3132 0.4979
O: 0.5730 0.3132 0.5021
O: 0.3616 0.8132 0.0021
O: 0.1770 0.1868 0.9979
O: 0.8251 0.8132 0.9979
Cu: 0.2500 0.5000 0.5000
Pt: 0.0000 0.0000 0.0000

Properties
raw formation energy = -0.86 eV/atom
size of the total moment = 0.99 μB per formula unit
E = -78.057 eV per cell



Q: size of the total moment of number 6 (K2CuPtO4)?
A: 0.99 μB per formula unit



Q: What is the E in the sixth record?
A: -78.057 eV per cell



Q: Which of these has the highest E?
A: AcTl2Ag